# BeTe2NCl | the Alexandria database | PBE | relaxed
data_BeTe2NCl
_chemical_formula_sum 'Be1 Te2 N1 Cl1'
_symmetry_space_group_name_H-M 'P 4/m m m'
_symmetry_Int_Tables_number 123
_symmetry_space_group_name_Hall '-P 4 2'
_cell_length_a 5.762
_cell_length_b 5.762
_cell_length_c 3.368
_cell_angle_alpha 90.00
_cell_angle_beta 90.00
_cell_angle_gamma 90.00
loop_
_atom_site_label
_atom_site_type_symbol
_atom_site_fract_x
_atom_site_fract_y
_atom_site_fract_z
Be1 Be 0.000 0.000 0.000
Te1 Te 0.000 0.500 0.500
N1 N 0.500 0.500 0.000
Cl1 Cl 0.500 0.500 0.500
# raw formation energy = 162 kJ per mole of atoms
# VASP energy = -11.8 eV per cell
# volume = 112 Å³ per cell
# distance to the lowest polymorph of the same formula = 1.250 eV per atom
# D(E_F) = 3.76 states/eV/f.u.